Computed, not measured: an optimized crystal structure of Ac2MnAg2O6 at the PBE+U level of DFT.

Computed properties:
Symmetry ... C2/m (12)
Spin magnetization ... 2.98 μB per cell
E_tot ... -71.03 eV for the cell shown

Structure (extended XYZ):
```
11
Lattice="-3.499 -5.249 -0.494 2.585 1.803 5.486 -5.145 2.983 1.716" Properties=species:S:1:pos:R:3 pbc="T T T"
O -3.997 -0.500 4.656
O -2.061 0.037 2.053
O -4.235 -2.914 0.310
O 0.181 2.205 4.650
O -1.823 2.451 6.399
O -6.239 -2.667 2.058
Ac -2.041 0.913 4.325
Ac -4.016 -1.376 2.384
Ag -2.693 -4.315 0.298
Ag 1.780 0.869 4.694
Mn -2.572 1.491 0.858
```